Below is crystalline Er3Te2As at its relaxed geometry, with properties calculated at the PBE-GGA level.

## Properties
Formation energy without anion corrections (eV/atom): -1.38
Raw total energy (Ry/atom): -0.4032
Fermi-level density of states (states/eV per cell): 5.1

Cell: 7.3229 7.4266 7.3115 Å, 80.54 59.95 70.84°
Last column: nearest neighbours and their distance in Å.
Positions (direct):
Er1 0.5700 0.2241 0.3538  2 As 2.83, 3 Te 3.03-3.17
Er2 0.4300 0.7759 0.6462  2 As 2.83, 3 Te 3.03-3.17
Er3 0.2826 0.2182 0.0000  2 As 2.83, 4 Te 3.02-3.15
Er4 0.7174 0.7818 0.0000  2 As 2.83, 4 Te 3.02-3.15
Er5 0.9238 0.2241 0.6462  2 As 2.83, 3 Te 3.03-3.17
Er6 0.0762 0.7759 0.3538  2 As 2.83, 3 Te 3.03-3.17
Te1 0.5000 0.5000 0.0000  6 Er 3.02-3.17
Te2 0.1595 0.5000 0.6810  6 Er 3.05-3.19
Te3 0.8405 0.5000 0.3190  6 Er 3.05-3.19
Te4 0.0000 0.0000 0.0000  6 Er 3.02-3.03
As1 0.3316 0.0000 0.3368  6 Er 2.83
As2 0.6684 0.0000 0.6632  6 Er 2.83